NaCuAsBr2: optimized geometry, PBE-GGA.

Lattice parameters (Å, degrees): 5.4302 5.4302 5.5342 90.00 90.00 90.00
With the nearest neighbours (Å) after each atom.
Atoms (fractional coordinates):
Na (0.0000, 0.0000, 0.0000)  4 Br 2.72, 2 As 2.77
As (0.0000, 0.0000, 0.5000)  2 Na 2.77
Cu (0.5000, 0.5000, 0.5000)  4 As 3.84, 8 Br 3.88
Br (0.0000, 0.5000, 0.0000)  2 Na 2.72
Br (0.5000, 0.0000, 0.0000)  2 Na 2.72

Results
- Magnetization: 0.596 μB/atom
- Energy: -10.7 eV per cell
- Energy above the lowest structure with this stoichiometry: 742.7 meV/atom

---

Ba5Na2Au2: optimized geometry, PBE-GGA.

Lattice parameters (Å, degrees): 8.9711 8.9949 11.1579 90.00 66.30 90.00
With the nearest neighbours (Å) after each atom.
Atoms (fractional coordinates):
Ba (0.0000, 0.0000, 0.0000)  4 Au 3.51-3.53
Ba (0.5000, 0.5000, 0.0000)  4 Au 3.51-3.53
Ba (0.4419, 0.1689, 0.7788)  3 Au 3.41-3.53
Ba (0.7792, 0.8311, 0.7788)  3 Au 3.41-3.53
Ba (0.2792, 0.6689, 0.7788)  3 Au 3.41-3.53
Ba (0.9419, 0.3311, 0.7788)  3 Au 3.41-3.53
Ba (0.5581, 0.8311, 0.2212)  3 Au 3.41-3.53
Ba (0.2208, 0.1689, 0.2212)  3 Au 3.41-3.53
Ba (0.7208, 0.3311, 0.2212)  3 Au 3.41-3.53
Ba (0.0581, 0.6689, 0.2212)  3 Au 3.41-3.53
Na (0.2222, 0.0000, 0.5556)  6 Ba 4.03-4.04
Na (0.7222, 0.5000, 0.5556)  6 Ba 4.03-4.04
Na (0.7778, 0.0000, 0.4444)  6 Ba 4.03-4.04
Na (0.2778, 0.5000, 0.4444)  6 Ba 4.03-4.04
Au (0.1308, 0.3699, 0.0000)  1 Au 3.31, 8 Ba 3.41-3.53
Au (0.8692, 0.6301, 0.0000)  1 Au 3.31, 8 Ba 3.41-3.53
Au (0.3692, 0.8699, 0.0000)  1 Au 3.31, 8 Ba 3.41-3.53
Au (0.6308, 0.1301, 0.0000)  1 Au 3.31, 8 Ba 3.41-3.53

Results
- Magnetization: 0.000 μB/atom
- Energy: -43.3 eV per cell
- Formation energy: -0.316 eV per atom

---

KYPbBr2: optimized geometry, PBE-GGA.

Lattice parameters (Å, degrees): 5.5542 6.2926 5.5542 90.00 90.00 90.00
With the nearest neighbours (Å) after each atom.
Atoms (fractional coordinates):
Pb (0.0000, 0.5000, 0.0000)  2 K 3.15
Y (0.5000, 0.5000, 0.5000)  4 Pb 3.93, 8 Br 4.20
K (0.0000, 0.0000, 0.0000)  4 Br 2.78
Br (0.0000, 0.0000, 0.5000)  2 K 2.78
Br (0.5000, 0.0000, 0.0000)  2 K 2.78

Results
- Magnetization: 0.000 μB/atom
- Energy: -15.2 eV per cell

---

ScBeOs: optimized geometry, PBE-GGA.

Lattice parameters (Å, degrees): 4.0127 4.0127 4.0127 60.00 60.00 60.00
With the nearest neighbours (Å) after each atom.
Atoms (fractional coordinates):
Sc (0.5000, 0.5000, 0.5000)  4 Be 2.46
Be (0.7500, 0.7500, 0.7500)  4 Sc 2.46, 4 Os 2.46
Os (0.0000, 0.0000, 0.0000)  4 Be 2.46

Results
- Magnetization: 0.000 μB/atom
- Energy: -21.3 eV per cell
- Formation energy: 0.006 eV per atom